# 1
TaBeB | GGA-PBE | optimized geometry

abc: 6.161 6.161 6.161
angles: 150.39 148.32 43.91
Element x y z (fractional)
1 Ta 0.383 0.133 0.250
2 Ta 0.617 0.867 0.750
3 Be 0.205 0.455 0.750
4 Be 0.795 0.545 0.250
5 B 0.040 0.290 0.750
6 B 0.960 0.710 0.250

Properties
The value obtained for the formation energy is -602 meV/atom. The total energy is -24.063 eV per formula unit.



# 2
Mo2Ru3 | GGA-PBE | optimized geometry

abc: 12.007 4.742 12.760
angles: 70.13 21.80 88.07
Element x y z (fractional)
1 Mo 0.278 0.722 0.327
2 Mo 0.577 0.923 0.528
3 Mo 0.722 0.278 0.673
4 Mo 0.923 0.577 0.972
5 Ru 0.026 0.113 0.283
6 Ru 0.113 0.026 0.577
7 Ru 0.316 0.316 0.684
8 Ru 0.566 0.566 0.934
9 Ru 0.673 0.967 0.137
10 Ru 0.967 0.673 0.224

Properties
The value obtained for the formation energy is 155 meV/atom. The total energy is -48.713 eV per formula unit.



# 3
Rb3U3VTe8 | GGA-PBE | optimized geometry

abc: 8.772 8.772 10.149
angles: 115.33 115.33 60.33
Element x y z (fractional)
1 Rb 0.000 0.000 0.000
2 Rb 0.000 0.500 0.000
3 Rb 0.500 0.000 0.000
4 U 0.000 0.500 0.500
5 U 0.500 0.000 0.500
6 U 0.500 0.500 0.500
7 V 0.000 0.000 0.500
8 Te 0.220 0.748 0.689
9 Te 0.221 0.221 0.688
10 Te 0.252 0.780 0.311
11 Te 0.265 0.265 0.295
12 Te 0.735 0.735 0.705
13 Te 0.748 0.220 0.689
14 Te 0.779 0.779 0.312
15 Te 0.780 0.252 0.311

Properties
The total energy is -81.934 eV per formula unit. For the uncorrected formation energy, the calculation gives -728 meV/atom.



# 4
Tb6In2Pt | GGA-PBE | optimized geometry

abc: 3.824 8.742 8.742
angles: 119.96 90.00 90.00
Element x y z (fractional)
1 Tb 0.000 0.000 0.000
2 Tb 0.000 0.507 0.753
3 Tb 0.000 0.753 0.507
4 Tb 0.500 0.148 0.753
5 Tb 0.500 0.358 0.358
6 Tb 0.500 0.753 0.148
7 In 0.000 0.086 0.420
8 In 0.000 0.420 0.086
9 Pt 0.500 0.754 0.754

Properties
The value obtained for the formation energy is -523 meV/atom. The total energy is -44.003 eV per formula unit.



# 5
Li3PaPb2Se6 | GGA-PBE | optimized geometry

abc: 7.439 7.439 6.864
angles: 99.45 99.45 121.17
Element x y z (fractional)
1 Li 0.000 0.000 0.000
2 Li 0.358 0.642 0.000
3 Li 0.642 0.358 0.000
4 Pa 0.500 0.500 0.500
5 Pb 0.172 0.828 0.500
6 Pb 0.828 0.172 0.500
7 Se 0.116 0.418 0.239
8 Se 0.265 0.265 0.748
9 Se 0.418 0.116 0.239
10 Se 0.582 0.884 0.761
11 Se 0.735 0.735 0.252
12 Se 0.884 0.582 0.761

Properties
The total energy is -56.357 eV per formula unit. For the uncorrected formation energy, the calculation gives -1066 meV/atom.



no.,calculated density (g/cm3)
1,11.02
2,10.96
3,5.75
4,9.04
5,6.18